(1)
{"formula": "Th4Bi2OsS", "functional": "GGA-PBE", "state": "relaxed", "crystal_system": "monoclinic", "e_form_raw_kj_per_mol_fu": -652, "dos_ef_per_ev_atom": 0.7934, "lattice_angstrom": [[4.260, 0.000, 0.000], [0.000, 7.503, 0.096], [0.000, -2.657, 7.391]], "species": ["Os", "S", "Th", "Th", "Th", "Th", "Bi", "Bi"], "frac_coords": [[0.500, 0.500, 0.000], [0.000, 0.000, 0.000], [0.000, 0.281, 0.795], [0.500, 0.758, 0.789], [0.500, 0.242, 0.211], [0.000, 0.719, 0.205], [0.500, 0.000, 0.500], [0.000, 0.500, 0.500]]}



(2)
{"formula": "HfScCrFe", "functional": "GGA-PBE", "state": "relaxed", "crystal_system": "cubic", "dos_ef_per_ev_atom": 0.8915, "ef_ev_per_atom": 0.0261, "lattice_angstrom": [[4.526, 0.000, 0.000], [2.263, 3.920, 0.000], [2.263, 1.307, 3.696]], "species": ["Cr", "Hf", "Sc", "Fe"], "frac_coords": [[0.750, 0.750, 0.750], [0.500, 0.500, 0.500], [0.000, 0.000, 0.000], [0.250, 0.250, 0.250]]}



(3)
{"formula": "SrTl2HgPt", "functional": "GGA-PBE", "state": "relaxed", "crystal_system": "tetragonal", "dos_ef_per_ev_atom": 0.4776, "ef_ev_per_atom": -0.2936, "lattice_angstrom": [[-2.415, -4.174, -2.239], [2.600, -3.269, 3.289], [-4.396, 0.444, 3.915]], "species": ["Tl", "Tl", "Pt", "Hg", "Sr"], "frac_coords": [[0.500, 0.000, 0.000], [0.000, 0.500, 0.000], [0.000, 0.000, 0.000], [0.500, 0.500, 0.500], [0.000, 0.000, 0.500]]}



Magnetization across the listed records, respectively: 0.000; 2.829; 0.000 μB/cell.
Calculated total energy across the listed records, respectively: -7.4440; -8.5666; -2.8450 eV per atom.